[1]
# PBE-GGA ZrAgP2Cl, relaxed
data_ZrAgP2Cl
_cell_length_a 4.782
_cell_length_b 4.782
_cell_length_c 4.754
_cell_angle_alpha 90.00
_cell_angle_beta 90.00
_cell_angle_gamma 90.00
_space_group_name_H-M_alt 'P 1'
_space_group_IT_number 1
_space_group_name_Hall 'P 1'
loop_
_atom_site_label
_atom_site_fract_x
_atom_site_fract_y
_atom_site_fract_z
P1 0.000 0.500 0.000
Zr1 0.500 0.500 0.500
P2 0.500 0.000 0.000
Cl1 0.000 0.000 0.500
Ag1 0.000 0.000 0.000
# DOS at the Fermi energy in states/eV per atom: 0.573
# Size of the total moment in Bohr magnetons per cell: 0.0
# Raw total energy in eV/atom: -4.205
# ρ in g cm⁻³: 4.53


[2]
# PBE-GGA Tl2S6Br, relaxed
data_Tl2S6Br
_cell_length_a 5.213
_cell_length_b 8.113
_cell_length_c 8.129
_cell_angle_alpha 92.98
_cell_angle_beta 115.60
_cell_angle_gamma 115.55
_space_group_name_H-M_alt 'P 1'
_space_group_IT_number 1
_space_group_name_Hall 'P 1'
loop_
_atom_site_label
_atom_site_fract_x
_atom_site_fract_y
_atom_site_fract_z
S1 0.857 0.505 0.224
Br1 0.000 0.000 0.000
S2 0.143 0.495 0.776
S3 0.965 0.667 0.667
Tl1 0.500 0.168 0.833
S4 0.855 0.223 0.504
S5 0.035 0.333 0.333
S6 0.145 0.777 0.496
Tl2 0.500 0.832 0.167
# DOS at the Fermi energy in states/eV per atom: 0.124
# Size of the total moment in Bohr magnetons per cell: 0.0
# Raw total energy in eV/atom: -3.580
# ρ in g cm⁻³: 4.23


[3]
# PBE-GGA TlCo2Pt, relaxed
data_TlCo2Pt
_cell_length_a 4.813
_cell_length_b 4.813
_cell_length_c 4.813
_cell_angle_alpha 134.37
_cell_angle_beta 129.53
_cell_angle_gamma 70.38
_space_group_name_H-M_alt 'P 1'
_space_group_IT_number 1
_space_group_name_Hall 'P 1'
loop_
_atom_site_label
_atom_site_fract_x
_atom_site_fract_y
_atom_site_fract_z
Co1 0.984 0.984 0.000
Tl1 0.244 0.744 0.500
Co2 0.767 0.267 0.500
Pt1 0.506 0.506 0.000
# DOS at the Fermi energy in states/eV per atom: 1.383
# Size of the total moment in Bohr magnetons per cell: 3.2
# ρ in g cm⁻³: 14.26
# E_form in eV per atom: 0.275


[4]
# PBE-GGA BaHoIn, relaxed
data_BaHoIn
_cell_length_a 3.993
_cell_length_b 3.993
_cell_length_c 7.471
_cell_angle_alpha 105.50
_cell_angle_beta 105.50
_cell_angle_gamma 90.00
_space_group_name_H-M_alt 'P 1'
_space_group_IT_number 1
_space_group_name_Hall 'P 1'
loop_
_atom_site_label
_atom_site_fract_x
_atom_site_fract_y
_atom_site_fract_z
In1 0.692 0.692 0.383
Ba1 0.014 0.014 0.028
Ho1 0.294 0.294 0.589
# DOS at the Fermi energy in states/eV per atom: 1.241
# Size of the total moment in Bohr magnetons per cell: 0.0
# ρ in g cm⁻³: 6.28
# E_form in eV per atom: -0.177